No. 1
Computed, not measured: crystalline PmSmTePb at its relaxed geometry at the GGA-PBE level of DFT.

abc: 5.513 5.513 5.513
angles: 60.00 60.00 60.00
Fractional positions:
Pm1 0.000 0.000 0.000
Pb1 0.750 0.750 0.750
Te1 0.250 0.250 0.250
Sm1 0.500 0.500 0.500

- N(E_F) (states/eV/cell) = 3.287
- total magnetic moment (μB per cell) = 0.00
- energy relative to the elements, uncorrected (eV/atom) = -0.7591

No. 2
Computed, not measured: crystalline PmSmTePb at its relaxed geometry at the GGA-PBE level of DFT.

abc: 4.506 4.506 7.824
angles: 73.26 73.26 60.00
Fractional positions:
Sm1 0.442 0.442 0.674
Pm1 0.946 0.946 0.161
Pb1 0.695 0.695 0.916
Te1 0.194 0.194 0.419

- N(E_F) (states/eV/cell) = 1.446
- total magnetic moment (μB per cell) = 0.00
- energy relative to the elements, uncorrected (eV/atom) = -1.0081

Number 1: electronic total energy -4.84 eV per atom, distance to the lowest polymorph of the same formula 1.00 eV per formula unit. Number 2: electronic total energy -5.09 eV per atom, distance to the lowest polymorph of the same formula 0.00 eV per formula unit.